## K3PuMn2F9 (PBE+U)

Data for crystalline K3PuMn2F9 at its relaxed geometry.

Cell lengths 6.1207, 6.1207, 8.1495 Å; angles 90.00, 90.00, 120.00 degrees
Space group P-3m1 (No. 164)
Unique sites:
K1 0.0000 0.0000 0.0000 [1 per cell]
K2 0.3333 0.6667 0.7329 [2 per cell]
Pu1 0.0000 0.0000 0.5000 [1 per cell]
Mn1 0.3333 0.6667 0.1575 [2 per cell]
F1 0.0000 0.5000 0.0000 [3 per cell]
F2 0.1658 0.3317 0.3005 [6 per cell]

Calculated values
Raw total energy (eV/cell): -91.37
Size of the total moment (μB per formula unit): 15.8